No. 1
# CrAgSe

Crystalline CrAgSe at its relaxed geometry (PBE, the Alexandria database).

Lattice parameters (Å, degrees): 6.2416 6.2416 6.2416 90.00 90.00 90.00
Space group F-43m (No. 216)
Inequivalent atoms, fractional coordinates:
Cr1 0.0000 0.0000 0.0000 [4 per cell]
Ag1 0.2500 0.2500 0.2500 [4 per cell]
Se1 0.2500 0.2500 0.7500 [4 per cell]

Properties
ρ in Mg/m³: 6.5
Raw formation energy in eV/f.u.: 0.55
Calculated volume in A^3/atom: 20.3
ΔE to the lowest computed polymorph in eV/atom: 0.1790
Total magnetization in μB per cell: 15.5



No. 2
# CrAgSe

Crystalline CrAgSe at its relaxed geometry (PBE, the Alexandria database).

Lattice parameters (Å, degrees): 8.9982 3.6103 7.7952 90.00 108.43 90.00
Space group Cm (No. 8)
Inequivalent atoms, fractional coordinates:
Cr1 0.0000 0.0000 0.0000 [2 per cell]
Cr2 0.1300 0.5000 0.7223 [2 per cell]
Ag1 0.0688 0.5000 0.3356 [2 per cell]
Ag2 0.4089 0.5000 0.4801 [2 per cell]
Se1 0.2118 0.5000 0.0826 [2 per cell]
Se2 0.3470 0.0000 0.7542 [2 per cell]

Properties
ρ in Mg/m³: 6.6
Raw formation energy in eV/f.u.: 0.21
Calculated volume in A^3/atom: 20.0
ΔE to the lowest computed polymorph in eV/atom: 0.0655
Total magnetization in μB per cell: 15.8



No. 3
# CrAg2Se

Crystalline CrAg2Se at its relaxed geometry (PBE, the Alexandria database).

Lattice parameters (Å, degrees): 3.0584 3.0584 27.6156 90.00 90.00 120.00
Space group R-3m (No. 166, hexagonal axes)
Inequivalent atoms, fractional coordinates:
Cr1 0.0000 0.0000 0.0000 [3 per cell]
Ag1 0.0000 0.0000 0.2531 [6 per cell]
Se1 0.0000 0.0000 0.5000 [3 per cell]

Properties
ρ in Mg/m³: 7.7
Raw formation energy in eV/f.u.: 1.78
Calculated volume in A^3/atom: 18.6
Total magnetization in μB per cell: 12.2



No. 4
# CrAg2Se

Crystalline CrAg2Se at its relaxed geometry (PBE, the Alexandria database).

Lattice parameters (Å, degrees): 3.8670 3.9623 9.6619 90.00 90.00 90.00
Space group Immm (No. 71)
Inequivalent atoms, fractional coordinates:
Cr1 0.0000 0.0000 0.0000 [2 per cell]
Ag1 0.0000 0.5000 0.2484 [4 per cell]
Se1 0.0000 0.0000 0.5000 [2 per cell]

Properties
ρ in Mg/m³: 7.8
Raw formation energy in eV/f.u.: 0.74
Calculated volume in A^3/atom: 18.5
Total magnetization in μB per cell: 8.7



No. 5
# CrAgSe

Crystalline CrAgSe at its relaxed geometry (PBE, the Alexandria database).

Lattice parameters (Å, degrees): 5.4957 3.9993 10.1219 90.00 94.70 90.00
Space group C2/m (No. 12)
Inequivalent atoms, fractional coordinates:
Cr1 0.2041 0.0000 0.0540 [4 per cell]
Ag1 0.2112 0.5000 0.5914 [4 per cell]
Se1 0.1395 0.0000 0.8143 [4 per cell]

Properties
ρ in Mg/m³: 7.2
Raw formation energy in eV/f.u.: 0.06
Calculated volume in A^3/atom: 18.5
ΔE to the lowest computed polymorph in eV/atom: 0.0158
Total magnetization in μB per cell: 0.0



No. 6
# CrAg2Se

Crystalline CrAg2Se at its relaxed geometry (PBE, the Alexandria database).

Lattice parameters (Å, degrees): 5.4717 9.4694 2.8988 90.00 90.00 90.00
Space group Cmmm (No. 65)
Inequivalent atoms, fractional coordinates:
Cr1 0.0000 0.0000 0.0000 [2 per cell]
Ag1 0.2500 0.2500 0.5000 [4 per cell]
Se1 0.0000 0.5000 0.0000 [2 per cell]

Properties
ρ in Mg/m³: 7.7
Raw formation energy in eV/f.u.: 1.51
Calculated volume in A^3/atom: 18.8
Total magnetization in μB per cell: 8.8



Copy entry 1 word for word.
# CrAgSe

Crystalline CrAgSe at its relaxed geometry (PBE, the Alexandria database).

Lattice parameters (Å, degrees): 6.2416 6.2416 6.2416 90.00 90.00 90.00
Space group F-43m (No. 216)
Inequivalent atoms, fractional coordinates:
Cr1 0.0000 0.0000 0.0000 [4 per cell]
Ag1 0.2500 0.2500 0.2500 [4 per cell]
Se1 0.2500 0.2500 0.7500 [4 per cell]

Properties
ρ in Mg/m³: 6.5
Raw formation energy in eV/f.u.: 0.55
Calculated volume in A^3/atom: 20.3
ΔE to the lowest computed polymorph in eV/atom: 0.1790
Total magnetization in μB per cell: 15.5



Question: Which value of calculated volume does entry 4 give?
Answer: 18.5 A^3/atom



Question: Which of these has the highest total magnetization?
Answer: number 2



Question: raw formation energy of number 6 (CrAg2Se)?
Answer: 1.51 eV/f.u.